ZnInAu2O6, relaxed, DFT PBE-GGA; DOS(E_F) = 7.1 states/eV/f.u.; space-group type = No. 15; calculated volume = 130 Å³/f.u.; formation energy without anion corrections = -0.603 eV per atom; total magnetization = 0.00 μB/f.u.
1.0
-3.039 -2.399 5.098
5.024 -0.663 4.820
0.773 4.918 4.912
O In Au Zn
12 2 4 2
Cartesian
0.708 3.467 7.488 O
0.185 1.120 2.790 O
0.065 0.808 7.305 O
2.050 -1.611 7.342 O
2.432 0.895 4.738 O
2.693 1.048 7.524 O
-0.346 -1.377 5.318 O
3.104 3.233 9.512 O
2.573 0.736 12.040 O
0.327 0.961 10.092 O
2.130 -1.594 9.973 O
0.628 3.450 4.857 O
-0.933 2.366 8.723 In
3.691 -0.510 6.107 In
-1.427 -0.012 6.242 Au
1.228 -0.303 3.669 Au
1.530 2.160 11.161 Au
4.185 1.868 8.587 Au
1.638 2.185 6.151 Zn
1.120 -0.329 8.679 Zn